Li4HgPd5 | PBE-GGA | optimized geometry

## Properties
Its space group is No. 123.

abc: 3.0483 3.0483 15.4783
angles: 90.00 90.00 90.00
Atoms (fractional coordinates):
Pd 0.5000 0.5000 0.1220
Pd 0.5000 0.5000 0.3110
Pd 0.5000 0.5000 0.5000
Hg 0.0000 0.0000 0.0000
Li 0.0000 0.0000 0.7825
Pd 0.5000 0.5000 0.6890
Li 0.0000 0.0000 0.2175
Li 0.0000 0.0000 0.4057
Li 0.0000 0.0000 0.5943
Pd 0.5000 0.5000 0.8780


LiHg4Pd7 | PBE-GGA | optimized geometry

## Properties
Its space group is No. 2. As for the relative energy among the computed polymorphs: 0.0 meV per atom.

abc: 5.0695 4.6706 9.5751
angles: 104.07 76.01 89.92
Atoms (fractional coordinates):
Hg 0.8292 0.8616 0.7238
Pd 0.5000 0.0000 0.0000
Pd 0.8002 0.4560 0.9126
Hg 0.3782 0.3845 0.7707
Pd 0.9624 0.7077 0.4152
Hg 0.6218 0.6155 0.2293
Hg 0.1708 0.1384 0.2762
Pd 0.3866 0.7820 0.5646
Pd 0.1998 0.5440 0.0874
Pd 0.6134 0.2180 0.4354
Li 0.0000 0.0000 0.0000
Pd 0.0376 0.2923 0.5848


LiHg6Pd2 | PBE-GGA | optimized geometry

## Properties
Its space group is No. 69.

abc: 4.3845 6.7185 6.9012
angles: 84.05 71.48 70.96
Atoms (fractional coordinates):
Pd 0.6638 0.5000 0.1724
Hg 0.3477 0.8045 0.5000
Pd 0.3362 0.5000 0.8276
Hg 0.9840 0.2008 0.8313
Hg 0.3153 0.2007 0.1687
Hg 0.6847 0.7993 0.8313
Hg 0.0160 0.7992 0.1687
Hg 0.6523 0.1955 0.5000
Li 0.0000 0.5000 0.5000


What did we get for ΔE_f? Answer: -36.0 -16.0 -11.6 kJ per mole of atoms, in the order shown.